! GGA-PBE Al8CuIr2, optimized geometry; values from VASP
&SYSTEM
  ibrav = 0, nat = 11, ntyp = 3
/
ATOMIC_SPECIES
Al 26.98 Al.upf
Ir 192.22 Ir.upf
Cu 63.55 Cu.upf
CELL_PARAMETERS angstrom
4.0746 0.0000 -1.2401
-1.1677 6.7557 -3.8369
-0.1923 -0.8064 6.6823
ATOMIC_POSITIONS crystal
Al 0.6552 0.4490 0.3104
Al 0.0000 0.6676 0.0000
Al 0.6552 0.8614 0.3104
Al 0.1312 0.1312 0.2624
Al 0.8688 0.8688 0.7376
Al 0.3448 0.1386 0.6896
Al 0.0000 0.3324 0.0000
Al 0.3448 0.5510 0.6896
Ir 0.7778 0.2778 0.5556
Ir 0.2222 0.7222 0.4444
Cu 0.5000 0.0000 0.0000
! energy = -5.17 eV per atom
! calculated formation energy = -0.47 eV/atom